No. 1
# Pr6TlHg2

Crystalline Pr6TlHg2 at its relaxed geometry (PBE, Alexandria via LeMat-Bulk).

The value obtained for the energy above the lowest structure with this stoichiometry is 0.031 eV/atom. The calculation puts the total magnetization at 0.0 μB per formula unit. The calculation puts the energy relative to the elements at -215 kJ/mol of formula units.

The space group is Immm (No. 71) and the conventional cell measures 10.403, 10.486 and 10.783 Å, with angles of 90.00, 90.00 and 90.00 degrees. Symmetry generates all atoms from Pr at (0.000, 0.223, 0.176), Pr at (0.181, 0.229, 0.500), Pr at (0.200, 0.500, 0.250), Tl at (0.000, 0.500, 0.000), Tl at (0.000, 0.500, 0.500), Hg at (0.000, 0.000, 0.365) and Hg at (0.146, 0.000, 0.000).

No. 2
# PrTlHg

Crystalline PrTlHg at its relaxed geometry (PBE, Alexandria via LeMat-Bulk).

The calculation puts the total magnetization at 0.0 μB per formula unit. The calculation puts the energy relative to the elements at -101 kJ/mol of formula units.

The space group is F-43m (No. 216) and the conventional cell measures 7.147, 7.147 and 7.147 Å, with angles of 90.00, 90.00 and 90.00 degrees. Symmetry generates all atoms from Pr at (0.000, 0.000, 0.000), Tl at (0.000, 0.000, 0.500) and Hg at (0.250, 0.250, 0.750).